Material: Pa2CoPbO8
Method: DFT, PBE+U
State: relaxed

Properties
- volume (A^3/atom) = 13.23
- electronic total energy (eV per atom) = -7.842
- symmetry = P-3m1

Lattice parameters (Å, degrees): 5.1424 5.1424 6.9317 90.00 90.00 120.00
Closest atoms and distances in Å follow each position.
Atoms (fractional coordinates):
O 0.3333 0.6667 0.5851  1 Pa 1.91
O 0.8299 0.6598 0.8502  1 Co 1.84
O 0.6598 0.8299 0.1498  1 Co 1.84
O 0.1701 0.8299 0.1498  1 Co 1.84
O 0.1701 0.3402 0.1498  1 Co 1.84
O 0.6667 0.3333 0.4149  1 Pa 1.91
O 0.8299 0.1701 0.8502  1 Co 1.84
O 0.3402 0.1701 0.8502  1 Co 1.84
Pa 0.3333 0.6667 0.8614  1 O 1.91
Pa 0.6667 0.3333 0.1386  1 O 1.91
Co 0.0000 0.0000 0.0000  6 O 1.84
Pb 0.0000 0.0000 0.5000  12 O 2.86-3.03